The following is a DFT calculation (GGA-PBEsol) of a relaxed MgSc2Rh crystal.

Unit cell a=4.613 b=4.613 c=3.470 alpha=90.00 beta=90.00 gamma=90.00
Space group P4/mmm (No. 123)
Asymmetric unit:
1 Mg 0.000 0.000 0.000
2 Sc 0.000 0.500 0.500
3 Rh 0.500 0.500 0.000

Density = 4.9 Mg/m³
Total magnetic moment = 0.0 μB/f.u.
DFT total energy = -24.7 eV for the cell shown
Formation enthalpy at 0 K = -411 meV per atom

The following is a DFT calculation (GGA-PBEsol) of a relaxed MgSc2Rh crystal.

Unit cell a=3.621 b=4.930 c=8.659 alpha=90.00 beta=90.00 gamma=90.00
Space group Immm (No. 71)
Asymmetric unit:
1 Mg 0.000 0.000 0.000
2 Sc 0.000 0.500 0.208
3 Rh 0.000 0.000 0.500

Density = 4.7 Mg/m³
Total magnetic moment = 0.0 μB/f.u.
DFT total energy = -49.6 eV for the cell shown
Formation enthalpy at 0 K = -435 meV per atom

The following is a DFT calculation (GGA-PBEsol) of a relaxed MgRh3Se crystal.

Unit cell a=4.501 b=4.501 c=4.501 alpha=90.00 beta=90.00 gamma=90.00
Space group Pm-3m (No. 221)
Asymmetric unit:
1 Mg 0.000 0.000 0.000
2 Rh 0.000 0.500 0.500
3 Se 0.500 0.500 0.500

Density = 7.5 Mg/m³
E_form (uncorrected) = 0.216 eV/atom
Total magnetic moment = 0.0 μB/f.u.
DFT total energy = -28.9 eV for the cell shown

The following is a DFT calculation (GGA-PBEsol) of a relaxed MgRhSe crystal.

Unit cell a=6.002 b=6.002 c=6.002 alpha=90.00 beta=90.00 gamma=90.00
Space group F-43m (No. 216)
Asymmetric unit:
1 Mg 0.000 0.000 0.000
2 Rh 0.250 0.250 0.750
3 Se 0.250 0.250 0.250

Density = 6.3 Mg/m³
E_form (uncorrected) = 0.006 eV/atom
Total magnetic moment = 0.0 μB/f.u.
DFT total energy = -54.8 eV for the cell shown

The following is a DFT calculation (GGA-PBEsol) of a relaxed MgRhSe4 crystal.

Unit cell a=7.819 b=7.819 c=7.819 alpha=90.00 beta=90.00 gamma=90.00
Space group F-43m (No. 216)
Asymmetric unit:
1 Mg 0.000 0.000 0.000
2 Rh 0.250 0.250 0.250
3 Se 0.124 0.124 0.624

Density = 6.2 Mg/m³
E_form (uncorrected) = 0.577 eV/atom
Total magnetic moment = 0.0 μB/f.u.
DFT total energy = -87.2 eV for the cell shown

The following is a DFT calculation (GGA-PBEsol) of a relaxed Mg2Si2Rh crystal.

Unit cell a=6.220 b=6.220 c=4.137 alpha=90.00 beta=90.00 gamma=90.00
Space group P4/mbm (No. 127)
Asymmetric unit:
1 Mg 0.176 0.324 0.000
2 Si 0.134 0.634 0.500
3 Rh 0.000 0.000 0.500

Density = 4.3 Mg/m³
E_form (uncorrected) = -0.482 eV/atom
Total magnetic moment = 0.0 μB/f.u.
DFT total energy = -50.9 eV for the cell shown

The following is a DFT calculation (GGA-PBEsol) of a relaxed Mg2SiRh crystal.

Unit cell a=3.852 b=3.852 c=8.177 alpha=90.00 beta=90.00 gamma=90.00
Space group I4/mmm (No. 139)
Asymmetric unit:
1 Mg 0.000 0.500 0.250
2 Si 0.000 0.000 0.000
3 Rh 0.000 0.000 0.500

Density = 4.9 Mg/m³
E_form (uncorrected) = -0.293 eV/atom
Total magnetic moment = 0.0 μB/f.u.
DFT total energy = -37.0 eV for the cell shown

The following is a DFT calculation (GGA-PBEsol) of a relaxed Sm4MgRh crystal.

Unit cell a=13.754 b=13.754 c=13.754 alpha=90.00 beta=90.00 gamma=90.00
Space group F-43m (No. 216)
Asymmetric unit:
1 Sm 0.000 0.000 0.187
2 Sm 0.063 0.250 0.250
3 Sm 0.153 0.153 0.653
4 Mg 0.080 0.080 0.420
5 Rh 0.142 0.142 0.858

Density = 7.4 Mg/m³
Total magnetic moment = 0.0 μB/f.u.
DFT total energy = -516.3 eV for the cell shown
Formation enthalpy at 0 K = -341 meV per atom

The following is a DFT calculation (GGA-PBEsol) of a relaxed Mg3SnRh crystal.

Unit cell a=5.129 b=5.129 c=5.129 alpha=90.00 beta=90.00 gamma=90.00
Space group Pm-3m (No. 221)
Asymmetric unit:
1 Mg 0.000 0.000 0.500
2 Sn 0.000 0.000 0.000
3 Rh 0.500 0.500 0.500

Density = 3.6 Mg/m³
Total magnetic moment = 0.7 μB/f.u.
DFT total energy = -13.1 eV for the cell shown
Formation enthalpy at 0 K = 891 meV per atom

The following is a DFT calculation (GGA-PBEsol) of a relaxed MgSn2Rh2 crystal.

Unit cell a=7.245 b=7.245 c=3.385 alpha=90.00 beta=90.00 gamma=90.00
Space group P4/mbm (No. 127)
Asymmetric unit:
1 Mg 0.000 0.000 0.000
2 Sn 0.154 0.346 0.500
3 Rh 0.143 0.643 0.000

Density = 8.7 Mg/m³
Total magnetic moment = 0.0 μB/f.u.
DFT total energy = -57.6 eV for the cell shown
Formation enthalpy at 0 K = -461 meV per atom

The following is a DFT calculation (GGA-PBEsol) of a relaxed MgSn3Rh crystal.

Unit cell a=5.094 b=5.094 c=5.094 alpha=90.00 beta=90.00 gamma=90.00
Space group Pm-3m (No. 221)
Asymmetric unit:
1 Mg 0.000 0.000 0.000
2 Sn 0.000 0.500 0.500
3 Rh 0.500 0.500 0.500

Density = 6.1 Mg/m³
Total magnetic moment = 0.0 μB/f.u.
DFT total energy = -22.4 eV for the cell shown
Formation enthalpy at 0 K = 44 meV per atom

The following is a DFT calculation (GGA-PBEsol) of a relaxed SrMgRh4 crystal.

Unit cell a=7.439 b=7.439 c=7.439 alpha=90.00 beta=90.00 gamma=90.00
Space group F-43m (No. 216)
Asymmetric unit:
1 Sr 0.000 0.000 0.000
2 Mg 0.250 0.250 0.750
3 Rh 0.124 0.124 0.376

Density = 8.4 Mg/m³
Total magnetic moment = 0.0 μB/f.u.
DFT total energy = -148.2 eV for the cell shown
Formation enthalpy at 0 K = -155 meV per atom

Please write out number 2 again, unchanged.
The following is a DFT calculation (GGA-PBEsol) of a relaxed MgSc2Rh crystal.

Unit cell a=3.621 b=4.930 c=8.659 alpha=90.00 beta=90.00 gamma=90.00
Space group Immm (No. 71)
Asymmetric unit:
1 Mg 0.000 0.000 0.000
2 Sc 0.000 0.500 0.208
3 Rh 0.000 0.000 0.500

Density = 4.7 Mg/m³
Total magnetic moment = 0.0 μB/f.u.
DFT total energy = -49.6 eV for the cell shown
Formation enthalpy at 0 K = -435 meV per atom

Copy entry 9 word for word.
The following is a DFT calculation (GGA-PBEsol) of a relaxed Mg3SnRh crystal.

Unit cell a=5.129 b=5.129 c=5.129 alpha=90.00 beta=90.00 gamma=90.00
Space group Pm-3m (No. 221)
Asymmetric unit:
1 Mg 0.000 0.000 0.500
2 Sn 0.000 0.000 0.000
3 Rh 0.500 0.500 0.500

Density = 3.6 Mg/m³
Total magnetic moment = 0.7 μB/f.u.
DFT total energy = -13.1 eV for the cell shown
Formation enthalpy at 0 K = 891 meV per atom